Entry from Alexandria via LeMat-Bulk: RbLiNd2Mo4O16 after structural relaxation (PBE with a Hubbard U).

Geometry as POSCAR:
```
RbLiNd2Mo4O16
1.0
7.121 0.016 0.052
-5.085 4.985 0.052
0.449 1.104 20.121
Rb Li Nd Mo O
2 2 4 8 32
Direct
0.966 0.034 0.250
0.034 0.966 0.750
0.686 0.314 0.250
0.314 0.686 0.750
0.146 0.854 0.533
0.146 0.854 0.967
0.854 0.146 0.467
0.854 0.146 0.033
0.233 0.730 0.146
0.270 0.767 0.354
0.587 0.462 0.408
0.730 0.233 0.646
0.538 0.413 0.092
0.767 0.270 0.854
0.413 0.538 0.592
0.462 0.587 0.908
0.576 0.894 0.132
0.820 0.489 0.459
0.480 0.054 0.713
0.772 0.682 0.900
0.228 0.318 0.100
0.248 0.980 0.166
0.180 0.511 0.541
0.319 0.506 0.831
0.946 0.520 0.787
0.980 0.248 0.666
0.020 0.752 0.334
0.511 0.180 0.041
0.583 0.062 0.568
0.417 0.938 0.432
0.735 0.776 0.541
0.106 0.424 0.368
0.494 0.681 0.669
0.489 0.820 0.959
0.681 0.494 0.169
0.054 0.480 0.213
0.938 0.417 0.932
0.682 0.772 0.400
0.520 0.946 0.287
0.424 0.106 0.868
0.752 0.020 0.834
0.506 0.319 0.331
0.318 0.228 0.600
0.894 0.576 0.632
0.062 0.583 0.068
0.776 0.735 0.041
0.265 0.224 0.459
0.224 0.265 0.959
```

Output
Space-group type = C2/c, No. 15
Total DFT energy (no corrections) = -343.1 eV/cell
Spin magnetization = 0.00 μB/cell